No. 1
A plane-wave DFT calculation with PBE was carried out for crystalline TlAg2W at its relaxed geometry.

Summary:
DOS(E_F), states/eV/f.u.: 2.0
Energy above the lowest structure with this stoichiometry, eV/atom: 0.029
Mass density, g cm⁻³: 13.062
DFT formation energy, eV per atom: 0.612
Total magnetization, μB/cell: 0.00

Cell: 3.166 4.844 10.016 Å, 90.00 90.00 90.00°
Space group Cmm2 (No. 35)
Inequivalent atoms, fractional coordinates:
Tl: 0.000 0.000 0.000 [2 per cell]
Ag: 0.000 0.000 0.507 [2 per cell]
Ag: 0.000 0.500 0.269 [2 per cell]
W: 0.000 0.500 0.741 [2 per cell]

No. 2
A plane-wave DFT calculation with PBE was carried out for crystalline CaZn3Pt at its relaxed geometry.

Summary:
DOS(E_F), states/eV/f.u.: 2.1
Energy above the lowest structure with this stoichiometry, eV/atom: 0.000
Mass density, g cm⁻³: 7.467
DFT formation energy, eV per atom: -0.480
Total magnetization, μB/cell: 0.00

Cell: 5.829 11.448 5.751 Å, 90.00 90.00 90.00°
Space group Cmcm (No. 63)
Inequivalent atoms, fractional coordinates:
Ca: 0.000 0.249 0.250 [4 per cell]
Zn: 0.000 0.357 0.750 [4 per cell]
Zn: 0.248 0.500 0.000 [8 per cell]
Pt: 0.000 0.138 0.750 [4 per cell]

No. 3
A plane-wave DFT calculation with PBE was carried out for crystalline Pm4Pb2I3 at its relaxed geometry.

Summary:
DOS(E_F), states/eV/f.u.: 5.4
ΔE_f (raw), eV/atom: -0.637
Energy above the lowest structure with this stoichiometry, eV/atom: 0.282
Mass density, g cm⁻³: 7.328
Total magnetization, μB/cell: 0.00

Cell: 16.590 11.927 6.370 Å, 90.00 98.55 90.00°
Space group C2/c (No. 15)
Inequivalent atoms, fractional coordinates:
Pm: 0.089 0.165 0.022 [8 per cell]
Pm: 0.196 0.370 0.571 [8 per cell]
Pb: 0.210 0.365 0.070 [8 per cell]
I: 0.000 0.371 0.250 [4 per cell]
I: 0.106 0.111 0.518 [8 per cell]

No. 4
A plane-wave DFT calculation with PBE was carried out for crystalline Ac2SnH2 at its relaxed geometry.

Summary:
DOS(E_F), states/eV/f.u.: 2.5
Mass density, g cm⁻³: 8.099
Energy, eV/cell: -44.22
Total magnetization, μB/cell: 0.00

Cell: 4.293 4.293 12.787 Å, 90.00 90.00 90.00°
Space group I4/mmm (No. 139)
Inequivalent atoms, fractional coordinates:
Ac: 0.000 0.000 0.145 [4 per cell]
Sn: 0.000 0.000 0.500 [2 per cell]
H: 0.000 0.500 0.250 [4 per cell]

No. 5
A plane-wave DFT calculation with PBE was carried out for crystalline CuSi3Bi at its relaxed geometry.

Summary:
DOS(E_F), states/eV/f.u.: 3.3
ΔE_f (raw), eV/atom: 0.640
Energy above the lowest structure with this stoichiometry, eV/atom: 0.000
Mass density, g cm⁻³: 5.891
Total magnetization, μB/cell: 0.00

Cell: 4.650 4.650 4.650 Å, 90.00 90.00 90.00°
Space group Pm-3m (No. 221)
Inequivalent atoms, fractional coordinates:
Cu: 0.000 0.000 0.000 [1 per cell]
Si: 0.000 0.000 0.500 [3 per cell]
Bi: 0.500 0.500 0.500 [1 per cell]

No. 6
A plane-wave DFT calculation with PBE was carried out for crystalline Rb4Y3TlO8 at its relaxed geometry.

Summary:
DOS(E_F), states/eV/f.u.: 0.0
ΔE_f (raw), eV/atom: -2.236
Mass density, g cm⁻³: 5.542
Total magnetization, μB/cell: 0.00

Cell: 7.0392 7.0392 19.7092 Å, 90.00 90.00 120.00°
Space group R-3m (No. 166, hexagonal axes)
Inequivalent atoms, fractional coordinates:
Rb: 0.0000 0.0000 0.0000 [3 per cell]
Rb: 0.0000 0.5000 0.0000 [9 per cell]
Y: 0.0000 0.5000 0.5000 [9 per cell]
Tl: 0.0000 0.0000 0.5000 [3 per cell]
O: 0.0000 0.0000 0.2247 [6 per cell]
O: 0.0077 0.5039 0.7726 [18 per cell]

Among the records above, which one has the lowest mass density? Rb4Y3TlO8

What is the DOS(E_F) in the first record? 2.0 states/eV/f.u.

Please write out number 2 again, unchanged.
A plane-wave DFT calculation with PBE was carried out for crystalline CaZn3Pt at its relaxed geometry.

Summary:
DOS(E_F), states/eV/f.u.: 2.1
Energy above the lowest structure with this stoichiometry, eV/atom: 0.000
Mass density, g cm⁻³: 7.467
DFT formation energy, eV per atom: -0.480
Total magnetization, μB/cell: 0.00

Cell: 5.829 11.448 5.751 Å, 90.00 90.00 90.00°
Space group Cmcm (No. 63)
Inequivalent atoms, fractional coordinates:
Ca: 0.000 0.249 0.250 [4 per cell]
Zn: 0.000 0.357 0.750 [4 per cell]
Zn: 0.248 0.500 0.000 [8 per cell]
Pt: 0.000 0.138 0.750 [4 per cell]